The following is a PBE calculation of KSnCl5 after structural relaxation, from Alexandria.

The value obtained for the raw formation energy is -1126 meV per atom.

a = 8.8665 Å, b = 8.8675 Å, c = 10.1192 Å
α = 121.23°, β = 121.24°, γ = 81.65°
Last column: nearest neighbours and their distance in Å.
Element x y z (fractional)
K 0.5000 0.0000 0.0000  2 Cl 2.95
K 0.5000 0.0000 0.5000  2 Cl 2.94
Sn 0.9079 0.5922 0.2500  4 Cl 2.34-2.35
Sn 0.0921 0.4078 0.7500  4 Cl 2.34-2.35
Cl 0.8061 0.7212 0.0722  1 Sn 2.35
Cl 0.2170 0.6876 0.4495  1 Sn 2.34
Cl 0.3698 0.1298 0.2499  2 K 2.94-2.95, 2 Cl 3.22
Cl 0.7788 0.6942 0.4278  1 Sn 2.35
Cl 0.2212 0.3058 0.5722  1 Sn 2.35
Cl 0.8123 0.2831 0.0507  1 Sn 2.34
Cl 0.1877 0.7169 0.9493  1 Sn 2.34
Cl 0.6302 0.8702 0.7501  2 K 2.94-2.95, 2 Cl 3.22
Cl 0.7830 0.3124 0.5505  1 Sn 2.34
Cl 0.1939 0.2788 0.9278  1 Sn 2.35


The following is a PBE calculation of K3SnCl7 after structural relaxation, from Alexandria.

The value obtained for the raw formation energy is -1495 meV per atom.

a = 7.1276 Å, b = 7.1276 Å, c = 7.7414 Å
α = 76.08°, β = 76.08°, γ = 89.75°
Last column: nearest neighbours and their distance in Å.
Element x y z (fractional)
K 0.7662 0.2141 0.4841  3 Cl 2.92-3.18
K 0.5077 0.5077 0.9431  2 Cl 2.97-3.31
K 0.2141 0.7662 0.4841  3 Cl 2.92-3.18
Sn 0.0125 0.0125 0.9719  6 Cl 2.47-2.51
Cl 0.1610 0.1610 0.1743  1 Sn 2.51
Cl 0.6874 0.0466 0.1618  1 Sn 2.47
Cl 0.9849 0.3337 0.7724  1 Sn 2.47
Cl 0.0466 0.6874 0.1618  1 Sn 2.47
Cl 0.5551 0.5551 0.5427  3 K 2.92-2.97
Cl 0.3337 0.9849 0.7724  1 Sn 2.47
Cl 0.8557 0.8557 0.7816  1 Sn 2.50


The following is a PBE calculation of KSn2Cl5 after structural relaxation, from Alexandria.

As for the energy above the most stable polymorph in this dataset: 0 meV per atom. The value obtained for the raw formation energy is -1258 meV per atom.

a = 9.1762 Å, b = 9.1762 Å, c = 9.1762 Å
α = 127.71°, β = 127.71°, γ = 77.10°
Last column: nearest neighbours and their distance in Å.
Element x y z (fractional)
K 0.7500 0.7500 0.0000  10 Cl 3.45-3.59
K 0.2500 0.2500 0.0000  10 Cl 3.45-3.59
Sn 0.6749 0.8251 0.5000  2 Cl 2.62
Sn 0.1749 0.6749 0.8498  2 Cl 2.62
Sn 0.3251 0.1749 0.5000  2 Cl 2.62
Sn 0.8251 0.3251 0.1502  2 Cl 2.62
Cl 0.1999 0.6999 0.1645  1 Sn 2.62
Cl 0.4646 0.9646 0.1645  1 Sn 2.62
Cl 0.8001 0.3001 0.8355  1 Sn 2.62
Cl 0.3001 0.4646 0.5000  1 Sn 2.62
Cl 0.9646 0.8001 0.5000  1 Sn 2.62
Cl 0.6999 0.5354 0.5000  1 Sn 2.62
Cl 0.5000 0.5000 0.0000  4 Sn 2.99
Cl 0.0000 0.0000 0.0000  4 Sn 2.99
Cl 0.5354 0.0354 0.8355  1 Sn 2.62
Cl 0.0354 0.1999 0.5000  1 Sn 2.62


The following is a PBE calculation of K6SnCl8 after structural relaxation, from Alexandria.

The value obtained for the raw formation energy is -1740 meV per atom.

a = 8.3054 Å, b = 8.3054 Å, c = 8.3054 Å
α = 68.53°, β = 68.53°, γ = 68.53°
Last column: nearest neighbours and their distance in Å.
Element x y z (fractional)
K 0.0609 0.4831 0.6954  7 Cl 3.17-3.43
K 0.3046 0.9391 0.5169  7 Cl 3.17-3.43
K 0.5169 0.3046 0.9391  7 Cl 3.17-3.43
K 0.4831 0.6954 0.0609  7 Cl 3.17-3.43
K 0.6954 0.0609 0.4831  7 Cl 3.17-3.43
K 0.9391 0.5169 0.3046  7 Cl 3.17-3.43
Sn 0.0000 0.0000 0.0000  6 Cl 2.87
Cl 0.1700 0.6680 0.9003  1 Sn 2.87, 1 K 3.18
Cl 0.0997 0.8300 0.3320  1 Sn 2.87, 1 K 3.18
Cl 0.3320 0.0997 0.8300  1 Sn 2.87, 1 K 3.18
Cl 0.6620 0.6620 0.6620  6 K 3.17-3.34
Cl 0.3380 0.3380 0.3380  6 K 3.17-3.34
Cl 0.6680 0.9003 0.1700  1 Sn 2.87, 1 K 3.18
Cl 0.9003 0.1700 0.6680  1 Sn 2.87, 1 K 3.18
Cl 0.8300 0.3320 0.0997  1 Sn 2.87, 1 K 3.18


The following is a PBE calculation of K2SrSnCl6 after structural relaxation, from Alexandria.

The value obtained for the raw formation energy is -1831 meV per atom.

a = 7.7022 Å, b = 7.7026 Å, c = 7.9188 Å
α = 60.88°, β = 60.88°, γ = 59.99°
Last column: nearest neighbours and their distance in Å.
Element x y z (fractional)
K 0.5317 0.5316 0.4050  6 Cl 3.15-3.28
K 0.0311 0.0312 0.9067  6 Cl 3.15-3.27
Sr 0.8170 0.8170 0.5490  6 Cl 2.90-2.93
Sn 0.3180 0.3180 0.0461  6 Cl 2.87-2.88
Cl 0.5955 0.1786 0.2660  1 Sn 2.87, 1 Sr 2.93, 1 K 3.15
Cl 0.1786 0.9599 0.2658  1 Sn 2.87, 1 Sr 2.93, 1 K 3.15
Cl 0.9599 0.5955 0.2660  1 Sn 2.87, 1 Sr 2.93, 1 K 3.15
Cl 0.4580 0.6734 0.7701  1 Sn 2.88, 1 Sr 2.90, 1 K 3.15
Cl 0.6735 0.0983 0.7702  1 Sn 2.88, 1 Sr 2.90, 1 K 3.15
Cl 0.0983 0.4581 0.7703  1 Sn 2.88, 1 Sr 2.90, 1 K 3.15


The following is a PBE calculation of KSnTeCl after structural relaxation, from Alexandria.

The value obtained for the raw formation energy is -990 meV per atom.

a = 4.4637 Å, b = 4.4638 Å, c = 8.5594 Å
α = 90.01°, β = 105.13°, γ = 120.01°
Last column: nearest neighbours and their distance in Å.
Element x y z (fractional)
K 0.4455 0.1208 0.5818  3 Cl 3.09
Sn 0.1304 0.9631 0.1080  3 Te 3.05, 3 Cl 3.36
Te 0.3293 0.5627 0.9073  3 Sn 3.05
Cl 0.9727 0.3843 0.3726  3 K 3.09, 3 Sn 3.36


The following is a PBE calculation of K2TiSnCl8 after structural relaxation, from Alexandria.

The value obtained for the raw formation energy is -1527 meV per atom.

a = 7.0654 Å, b = 6.5370 Å, c = 8.3454 Å
α = 89.97°, β = 90.02°, γ = 91.73°
Last column: nearest neighbours and their distance in Å.
Element x y z (fractional)
K 0.5001 0.4996 0.7579  6 Cl 3.00-3.32
K 0.4999 0.5004 0.2421  6 Cl 3.00-3.32
Ti 0.0000 0.0000 0.0000  6 Cl 2.34-2.39
Sn 0.0000 0.0000 0.5000  6 Cl 2.69-2.96
Cl 0.1249 0.7893 0.2065  1 Ti 2.39
Cl 0.7188 0.8016 0.9998  1 Ti 2.34
Cl 0.8748 0.2105 0.2062  1 Ti 2.39
Cl 0.8751 0.2107 0.7935  1 Ti 2.39
Cl 0.2812 0.1984 0.0002  1 Ti 2.34
Cl 0.1252 0.7895 0.7938  1 Ti 2.39
Cl 0.6867 0.7556 0.5001  1 Sn 2.69, 2 K 3.00-3.01
Cl 0.3133 0.2444 0.4999  1 Sn 2.69, 2 K 3.00-3.01


The following is a PBE calculation of K2Tl3SnCl6 after structural relaxation, from Alexandria.

The value obtained for the raw formation energy is -1167 meV per atom.

a = 7.5186 Å, b = 7.5186 Å, c = 8.4740 Å
α = 98.68°, β = 98.68°, γ = 120.51°
Last column: nearest neighbours and their distance in Å.
Element x y z (fractional)
K 0.3354 0.6646 0.0000  6 Cl 3.12-3.15
K 0.6646 0.3354 0.0000  6 Cl 3.12-3.15
Tl 0.1766 0.8234 0.5000  6 Cl 3.36-3.44
Tl 0.8234 0.1766 0.5000  6 Cl 3.36-3.44
Tl 0.5000 0.5000 0.5000  6 Cl 3.33-3.51
Sn 0.0000 0.0000 0.0000  6 Cl 2.89-2.93
Cl 0.9274 0.6182 0.7855  1 Sn 2.89, 2 K 3.12-3.14
Cl 0.7695 0.7695 0.2244  1 Sn 2.93, 2 K 3.15
Cl 0.0726 0.3818 0.2145  1 Sn 2.89, 2 K 3.12-3.14
Cl 0.6182 0.9274 0.7855  1 Sn 2.89, 2 K 3.12-3.14
Cl 0.2305 0.2305 0.7756  1 Sn 2.93, 2 K 3.15
Cl 0.3818 0.0726 0.2145  1 Sn 2.89, 2 K 3.12-3.14